This record from Alexandria describes a PBEsol-optimized structure of SrRuBr2. The functional is meta-GGA SCAN.

Summary:
Magnetization: 0.38 μB per formula unit
Volume: 214.2 Å³/cell
Formation energy (no corrections): -0.501 eV per atom
DOS(E_F): 4.7 states/eV per cell
Relative energy among the computed polymorphs: 5.9 kJ per mole of atoms
Total energy: -98.0 eV per formula unit

Cell and atoms, written as CIF:
```
data_SrRuBr2
_chemical_formula_sum 'Sr2 Ru2 Br4'
_cell_length_a 11.322
_cell_length_b 3.684
_cell_length_c 5.141
_cell_angle_alpha 90.00
_cell_angle_beta 92.34
_cell_angle_gamma 90.00
_space_group_name_H-M_alt 'C 1 m 1'
_space_group_IT_number 8
loop_
_space_group_symop_operation_xyz
'x,y,z'
'x,-y,z'
'x+1/2,y+1/2,z'
'x+1/2,-y+1/2,z'
loop_
_atom_site_label
_atom_site_type_symbol
_atom_site_fract_x
_atom_site_fract_y
_atom_site_fract_z
Sr1 Sr 0.000 0.000 0.000
Ru1 Ru 0.200 0.500 0.813
Br1 Br 0.025 0.500 0.503
Br2 Br 0.273 0.000 0.071
```